First-principles (PBE) data for an optimized crystal structure of YZn2, as listed in Alexandria.

Formation enthalpy at 0 K: -0.1171 eV/atom
Magnetic moment: 0.000 μB/f.u.
Calculated density: 5.82 g cm⁻³

abc: 5.0945 5.0945 5.0945
angles: 142.03 128.58 65.68
Atoms (fractional coordinates):
Y (0.0000, 0.0000, 0.0000)
Zn (0.3405, 0.3405, 0.0000)
Zn (0.6595, 0.6595, 0.0000)